1.
Below is a relaxed structure of Rb2NaGaAu, with properties calculated at the PBE-GGA level.

Calculated values
- magnetic moment (μB/cell) = 0.0
- symmetry = P4/mmm, No. 123

abc: 6.8515 6.8515 4.9363
angles: 90.00 90.00 90.00
Last column: nearest neighbours and their distance in Å.
Sites, in units of the cell vectors:
Au 0.0000 0.0000 0.0000  2 Ga 2.47
Ga 0.0000 0.0000 0.5000  2 Au 2.47
Rb 0.0000 0.5000 0.0000  2 Au 3.43
Rb 0.5000 0.0000 0.0000  2 Au 3.43
Na 0.5000 0.5000 0.5000  8 Rb 4.22

---

2.
Below is a relaxed structure of RbNaGaAu, with properties calculated at the PBE-GGA level.

Calculated values
- magnetic moment (μB/cell) = 0.0
- symmetry = Cm, No. 8

abc: 4.5806 4.5806 7.8508
angles: 90.19 106.76 119.99
Last column: nearest neighbours and their distance in Å.
Sites, in units of the cell vectors:
Na 0.0089 0.8679 0.8768  3 Au 3.08, 3 Ga 3.09
Rb 0.3804 0.0562 0.4366  3 Ga 3.66-3.67, 3 Au 3.68-3.69
Ga 0.8193 0.2741 0.0935  3 Au 2.64-2.65
Au 0.4835 0.6062 0.0897  3 Ga 2.64-2.65

---

3.
Below is a relaxed structure of RbNaGa2Au2, with properties calculated at the PBE-GGA level.

Calculated values
- magnetic moment (μB/cell) = 0.0
- symmetry = P-3m1, No. 164

abc: 4.6755 4.6755 8.2487
angles: 90.00 90.00 120.00
Last column: nearest neighbours and their distance in Å.
Sites, in units of the cell vectors:
Ga 0.3333 0.6667 0.3307  4 Au 2.70-2.82
Ga 0.6667 0.3333 0.6693  4 Au 2.70-2.82
Au 0.6667 0.3333 0.3269  4 Ga 2.70-2.82
Au 0.3333 0.6667 0.6731  4 Ga 2.70-2.82
Na 0.0000 0.0000 0.5000  6 Ga 3.04, 6 Au 3.05
Rb 0.0000 0.0000 0.0000  6 Au 3.82, 6 Ga 3.84, 2 Na 4.12

---

Number 1: energy of formation -0.059 eV per atom. Number 2: energy of formation -0.210 eV per atom. Number 3: energy of formation -0.305 eV per atom.